Entry 1:
Computed, not measured: crystalline Ac5HIrPt2 at its relaxed geometry at the PBE level of DFT.

## Properties
**E**: -206.6 eV for the cell shown
**Volume**: 1049.2 Å³/cell

```
data_Ac5HIrPt2
_chemical_formula_sum 'Ac20 H4 Ir4 Pt8'
_symmetry_space_group_name_H-M 'C m c 21'
_symmetry_Int_Tables_number 36
_symmetry_space_group_name_Hall 'C 2c -2'
_cell_length_a 4.252
_cell_length_b 18.468
_cell_length_c 13.360
_cell_angle_alpha 90.00
_cell_angle_beta 90.00
_cell_angle_gamma 90.00
loop_
_atom_site_label
_atom_site_type_symbol
_atom_site_fract_x
_atom_site_fract_y
_atom_site_fract_z
Ac1 Ac 0.000 0.000 0.000
Ac2 Ac 0.000 0.143 0.259
Ac3 Ac 0.000 0.196 0.603
Ac4 Ac 0.000 0.199 0.914
Ac5 Ac 0.000 0.458 0.245
H1 H 0.000 0.064 0.658
Ir1 Ir 0.000 0.301 0.258
Pt1 Pt 0.000 0.379 0.939
Pt2 Pt 0.000 0.382 0.576
```

Entry 2:
Computed, not measured: crystalline Pr4USb5 at its relaxed geometry at the PBE level of DFT.

## Properties
**Energy relative to the elements, uncorrected**: -0.9839 eV per atom
**E**: -121.7 eV for the cell shown
**Volume**: 652.8 Å³/cell

```
data_Pr4USb5
_chemical_formula_sum 'Pr8 U2 Sb10'
_symmetry_space_group_name_H-M 'I 4/m'
_symmetry_Int_Tables_number 87
_symmetry_space_group_name_Hall '-I 4'
_cell_length_a 10.104
_cell_length_b 10.104
_cell_length_c 6.394
_cell_angle_alpha 90.00
_cell_angle_beta 90.00
_cell_angle_gamma 90.00
loop_
_atom_site_label
_atom_site_type_symbol
_atom_site_fract_x
_atom_site_fract_y
_atom_site_fract_z
Pr1 Pr 0.097 0.699 0.000
U1 U 0.000 0.000 0.500
Sb1 Sb 0.000 0.000 0.000
Sb2 Sb 0.097 0.708 0.500
```

Entry 3:
Computed, not measured: crystalline Ac2ErPuSe6 at its relaxed geometry at the PBE level of DFT.

## Properties
**Energy relative to the elements, uncorrected**: -1.7827 eV per atom
**E**: -197.5 eV for the cell shown
**Volume**: 978.1 Å³/cell

```
data_Ac2ErPuSe6
_chemical_formula_sum 'Ac6 Er3 Pu3 Se18'
_symmetry_space_group_name_H-M 'R 3'
_symmetry_Int_Tables_number 146
_symmetry_space_group_name_Hall 'R 3'
_cell_length_a 7.5802
_cell_length_b 7.5802
_cell_length_c 19.6557
_cell_angle_alpha 90.00
_cell_angle_beta 90.00
_cell_angle_gamma 120.00
loop_
_atom_site_label
_atom_site_type_symbol
_atom_site_fract_x
_atom_site_fract_y
_atom_site_fract_z
Ac1 Ac 0.0000 0.0000 0.0000
Ac2 Ac 0.0000 0.0000 0.5000
Er1 Er 0.0000 0.0000 0.2085
Pu1 Pu 0.0000 0.0000 0.7086
Se1 Se 0.0598 0.3483 0.2803
Se2 Se 0.0637 0.7076 0.7824
```

Entry 4:
Computed, not measured: crystalline TlAg2Ru at its relaxed geometry at the PBE level of DFT.

## Properties
**E**: -31.4 eV for the cell shown
**Excess energy over the best structure of this formula in the dataset**: 20.0 meV per atom
**Volume**: 148.8 Å³/cell
**Energy of formation from the pure elements**: 0.41 eV/atom

```
data_TlAg2Ru
_chemical_formula_sum 'Tl2 Ag4 Ru2'
_symmetry_space_group_name_H-M 'I m m m'
_symmetry_Int_Tables_number 71
_symmetry_space_group_name_Hall '-I 2 2'
_cell_length_a 3.078
_cell_length_b 4.697
_cell_length_c 10.295
_cell_angle_alpha 90.00
_cell_angle_beta 90.00
_cell_angle_gamma 90.00
loop_
_atom_site_label
_atom_site_type_symbol
_atom_site_fract_x
_atom_site_fract_y
_atom_site_fract_z
Tl1 Tl 0.000 0.000 0.000
Ag1 Ag 0.000 0.500 0.233
Ru1 Ru 0.000 0.000 0.500
```

Entry 5:
Computed, not measured: crystalline KBeIr2 at its relaxed geometry at the PBE level of DFT.

## Properties
**E**: -21.2 eV for the cell shown
**Volume**: 69.3 Å³/cell
**Energy of formation from the pure elements**: 0.34 eV/atom

```
data_KBeIr2
_chemical_formula_sum 'K1 Be1 Ir2'
_symmetry_space_group_name_H-M 'P 4 m m'
_symmetry_Int_Tables_number 99
_symmetry_space_group_name_Hall 'P 4 -2'
_cell_length_a 2.922
_cell_length_b 2.922
_cell_length_c 8.123
_cell_angle_alpha 90.00
_cell_angle_beta 90.00
_cell_angle_gamma 90.00
loop_
_atom_site_label
_atom_site_type_symbol
_atom_site_fract_x
_atom_site_fract_y
_atom_site_fract_z
K1 K 0.000 0.000 0.000
Be1 Be 0.500 0.500 0.346
Ir1 Ir 0.000 0.000 0.457
Ir2 Ir 0.500 0.500 0.683
```

Entry 6:
Computed, not measured: crystalline Rb2ZrTe4Pd at its relaxed geometry at the PBE level of DFT.

## Properties
**Energy relative to the elements, uncorrected**: -0.7337 eV per atom
**E**: -272.9 eV for the cell shown
**Volume**: 2550.4 Å³/cell

```
data_Rb2ZrTe4Pd
_chemical_formula_sum 'Rb16 Zr8 Te32 Pd8'
_symmetry_space_group_name_H-M 'F d d d'
_symmetry_Int_Tables_number 70
_cell_length_a 6.539
_cell_length_b 13.969
_cell_length_c 27.920
_cell_angle_alpha 90.00
_cell_angle_beta 90.00
_cell_angle_gamma 90.00
loop_
_symmetry_equiv_pos_as_xyz
'x,y,z'
'-x,-y,-z'
'-x+1/4,-y+1/4,z'
'x+1/4,y+1/4,-z'
'x,-y+1/4,-z+1/4'
'-x,y+1/4,z+1/4'
'-x+1/4,y,-z+1/4'
'x+1/4,-y,z+1/4'
'x,y+1/2,z+1/2'
'-x,-y+1/2,-z+1/2'
'-x+1/4,-y+3/4,z+1/2'
'x+1/4,y+3/4,-z+1/2'
'x,-y+3/4,-z+3/4'
'-x,y+3/4,z+3/4'
'-x+1/4,y+1/2,-z+3/4'
'x+1/4,-y+1/2,z+3/4'
'x+1/2,y,z+1/2'
'-x+1/2,-y,-z+1/2'
'-x+3/4,-y+1/4,z+1/2'
'x+3/4,y+1/4,-z+1/2'
'x+1/2,-y+1/4,-z+3/4'
'-x+1/2,y+1/4,z+3/4'
'-x+3/4,y,-z+3/4'
'x+3/4,-y,z+3/4'
'x+1/2,y+1/2,z'
'-x+1/2,-y+1/2,-z'
'-x+3/4,-y+3/4,z'
'x+3/4,y+3/4,-z'
'x+1/2,-y+3/4,-z+1/4'
'-x+1/2,y+3/4,z+1/4'
'-x+3/4,y+1/2,-z+1/4'
'x+3/4,-y+1/2,z+1/4'
loop_
_atom_site_label
_atom_site_type_symbol
_atom_site_fract_x
_atom_site_fract_y
_atom_site_fract_z
Rb1 Rb 0.125 0.125 0.305
Zr1 Zr 0.125 0.125 0.125
Te1 Te 0.115 0.273 0.817
Pd1 Pd 0.125 0.125 0.625
```

Please write out number 4 again, unchanged.
Computed, not measured: crystalline TlAg2Ru at its relaxed geometry at the PBE level of DFT.

## Properties
**E**: -31.4 eV for the cell shown
**Excess energy over the best structure of this formula in the dataset**: 20.0 meV per atom
**Volume**: 148.8 Å³/cell
**Energy of formation from the pure elements**: 0.41 eV/atom

```
data_TlAg2Ru
_chemical_formula_sum 'Tl2 Ag4 Ru2'
_symmetry_space_group_name_H-M 'I m m m'
_symmetry_Int_Tables_number 71
_symmetry_space_group_name_Hall '-I 2 2'
_cell_length_a 3.078
_cell_length_b 4.697
_cell_length_c 10.295
_cell_angle_alpha 90.00
_cell_angle_beta 90.00
_cell_angle_gamma 90.00
loop_
_atom_site_label
_atom_site_type_symbol
_atom_site_fract_x
_atom_site_fract_y
_atom_site_fract_z
Tl1 Tl 0.000 0.000 0.000
Ag1 Ag 0.000 0.500 0.233
Ru1 Ru 0.000 0.000 0.500
```